Pm2Ho3TmAs6 | GGA-PBE | optimized geometry

Unit cell a=4.1432 b=8.2802 c=9.2582 alpha=102.91 beta=102.93 gamma=90.00
Atoms (fractional coordinates):
Pm  0.8343  0.6681  0.6686
Pm  0.1657  0.3319  0.3314
Ho  0.5000  0.5000  0.0000
Ho  0.8328  0.1661  0.6656
Ho  0.1672  0.8339  0.3344
Tm  0.5000  0.0000  0.0000
As  0.3343  0.9234  0.6687
As  0.6648  0.5880  0.3296
As  0.6657  0.0766  0.3313
As  0.9976  0.2468  0.9952
As  0.0024  0.7532  0.0048
As  0.3352  0.4120  0.6704

Computed properties:
Total moment   0.000 Bohr magnetons per cell
Raw total energy   -73.80 eV per formula unit
Formation energy from the elements   -1.52 eV per atom

=====

HfSi2RuSe | GGA-PBE | optimized geometry

Unit cell a=4.4484 b=5.3014 c=4.4484 alpha=90.00 beta=90.00 gamma=90.00
Atoms (fractional coordinates):
Ru  0.0000  0.0000  0.0000
Si  0.0000  0.0000  0.5000
Si  0.5000  0.0000  0.0000
Hf  0.0000  0.5000  0.0000
Se  0.5000  0.5000  0.5000

Computed properties:
Total moment   0.000 Bohr magnetons per cell
Raw total energy   -33.84 eV per formula unit
Formation energy from raw total energies   -56 meV per atom

=====

Hf2Se2I | GGA-PBE | optimized geometry

Unit cell a=7.9566 b=7.9566 c=3.4936 alpha=90.00 beta=90.00 gamma=90.00
Atoms (fractional coordinates):
I  0.0000  0.0000  0.0000
I  0.5000  0.5000  0.0000
Hf  0.3673  0.8673  0.0000
Hf  0.8673  0.6327  0.0000
Hf  0.6327  0.1327  0.0000
Hf  0.1327  0.3673  0.0000
Se  0.1417  0.6417  0.5000
Se  0.6417  0.8583  0.5000
Se  0.8583  0.3583  0.5000
Se  0.3583  0.1417  0.5000

Computed properties:
Total moment   0.000 Bohr magnetons per cell
Raw total energy   -31.95 eV per formula unit
Formation energy from raw total energies   -706 meV per atom

=====

AlP2Rh | GGA-PBE | optimized geometry

Unit cell a=3.5035 b=3.5242 c=4.9459 alpha=90.00 beta=90.00 gamma=90.00
Atoms (fractional coordinates):
P  0.0000  0.0000  0.9060
P  0.5000  0.5000  0.3518
Rh  0.0000  0.0000  0.3931
Al  0.5000  0.5000  0.8491

Computed properties:
Total moment   0.000 Bohr magnetons per cell
Raw total energy   -22.93 eV per formula unit
Formation energy from the elements   -0.25 eV per atom